Entry 1:
Here is a relaxed structure of Tm2SbPt9 from Alexandria. Energies are from PBE-GGA.

## Properties
symmetry	P4/mmm, No. 123
electronic total energy	-6.422	eV/atom
density	18.0	g/cm3
energy relative to the elements, uncorrected	-9.6	eV/f.u.

Cell lengths 4.0850, 4.0850, 12.2762 Å; angles 90.00, 90.00, 90.00 degrees
Sites, in units of the cell vectors:
Pt: 0.5000 0.0000 0.8348
Tm: 0.0000 0.0000 0.3359
Pt: 0.5000 0.0000 0.5000
Pt: 0.5000 0.5000 0.3311
Pt: 0.5000 0.0000 0.1652
Pt: 0.0000 0.5000 0.5000
Pt: 0.0000 0.5000 0.1652
Sb: 0.0000 0.0000 0.0000
Pt: 0.5000 0.5000 0.0000
Tm: 0.0000 0.0000 0.6641
Pt: 0.0000 0.5000 0.8348
Pt: 0.5000 0.5000 0.6689

Entry 2:
Here is a relaxed structure of CeDyCdRu from Alexandria. Energies are from PBE-GGA.

## Properties
symmetry	P4mm, No. 99
electronic total energy	-5.525	eV/atom
ΔE_f	-343	meV per atom
distance to the lowest polymorph of the same formula	0.000	eV per formula unit
density	9.1	g/cm3

Cell lengths 3.3536, 3.3536, 8.3521 Å; angles 90.00, 90.00, 90.00 degrees
Sites, in units of the cell vectors:
Dy: 0.5000 0.5000 0.3616
Ru: 0.0000 0.0000 0.5699
Ce: 0.5000 0.5000 0.7760
Cd: 0.0000 0.0000 0.0771

Entry 3:
Here is a relaxed structure of Hf2CdPd9 from Alexandria. Energies are from PBE-GGA.

## Properties
symmetry	P4/mmm, No. 123
electronic total energy	-6.328	eV/atom
ΔE_f	-698	meV per atom
density	12.2	g/cm3

Cell lengths 4.0190, 4.0190, 12.0593 Å; angles 90.00, 90.00, 90.00 degrees
Sites, in units of the cell vectors:
Pd: 0.0000 0.5000 0.1729
Pd: 0.0000 0.5000 0.8271
Pd: 0.5000 0.0000 0.1729
Cd: 0.0000 0.0000 0.0000
Pd: 0.0000 0.5000 0.5000
Pd: 0.5000 0.5000 0.6634
Pd: 0.5000 0.5000 0.0000
Pd: 0.5000 0.0000 0.5000
Pd: 0.5000 0.5000 0.3366
Pd: 0.5000 0.0000 0.8271
Hf: 0.0000 0.0000 0.6697
Hf: 0.0000 0.0000 0.3303

Entry 4:
Here is a relaxed structure of ZrSi2As from Alexandria. Energies are from PBE-GGA.

## Properties
symmetry	Amm2, No. 38
electronic total energy	-6.362	eV/atom
distance to the lowest polymorph of the same formula	0.000	eV per formula unit
density	5.1	g/cm3
energy relative to the elements, uncorrected	-1.4	eV/f.u.

Cell lengths 5.4952, 5.4952, 3.8327 Å; angles 90.00, 90.00, 39.01 degrees
Sites, in units of the cell vectors:
Si: 0.7365 0.7365 0.8750
Si: 0.9624 0.9624 0.8751
Zr: 0.5437 0.5437 0.3751
As: 0.2574 0.2574 0.3749

density of number 4 (ZrSi2As)?
5.1 g/cm3